Record 1
A relaxed EuCrP2 crystal. Source: the Alexandria database, functional PBE.

Calculated values
- Symmetry: R-3m
- Density of states at the Fermi level: 3.0 states/eV per cell
- Energy relative to the elements: -272.9 kJ/mol of formula units

Cell lengths 3.8130, 3.8130, 6.3733 Å; angles 72.59, 72.59, 60.00 degrees
Closest atoms and distances in Å follow each position.
Fractional coordinates of all 4 atoms:
P 0.7296 0.7296 0.8112  3 Cr 2.47
P 0.2704 0.2704 0.1888  3 Cr 2.47
Eu 0.5000 0.5000 0.5000  6 P 2.88
Cr 0.0000 0.0000 0.0000  6 P 2.47

Record 2
A relaxed EuCrPb2 crystal. Source: the Alexandria database, functional PBE.

Calculated values
- Symmetry: P-1
- Density of states at the Fermi level: 3.4 states/eV per cell
- Energy relative to the elements: 24.7 kJ/mol of formula units

Cell lengths 5.4852, 5.2647, 5.2567 Å; angles 62.51, 58.51, 58.38 degrees
Closest atoms and distances in Å follow each position.
Fractional coordinates of all 4 atoms:
Eu 0.7500 0.7500 0.7500  8 Pb 3.26-3.27, 2 Cr 3.56
Pb 0.4989 0.5009 0.5019  4 Cr 3.25-3.28, 4 Eu 3.26-3.27, 2 Pb 3.54-3.58
Pb 0.0011 0.9991 0.9981  4 Cr 3.25-3.28, 4 Eu 3.26-3.27, 2 Pb 3.54-3.58
Cr 0.2500 0.2500 0.2500  8 Pb 3.25-3.28, 2 Eu 3.56

Record 3
A relaxed EuCrS2 crystal. Source: the Alexandria database, functional PBE.

Calculated values
- Symmetry: R-3m
- Uncorrected formation energy: -27.313 kcal/mol of atoms
- Density of states at the Fermi level: 8.3 states/eV per cell

Cell lengths 3.8498, 3.8498, 6.4913 Å; angles 72.75, 72.75, 60.00 degrees
Closest atoms and distances in Å follow each position.
Fractional coordinates of all 4 atoms:
S 0.2642 0.2642 0.2074  3 Cr 2.56, 3 Eu 2.85
S 0.7358 0.7358 0.7926  3 Cr 2.56, 3 Eu 2.85
Cr 0.0000 0.0000 0.0000  6 S 2.56
Eu 0.5000 0.5000 0.5000  6 S 2.85

Record 4
A relaxed Eu3Cr5S12 crystal. Source: the Alexandria database, functional PBE.

Calculated values
- Symmetry: Ia-3d
- Uncorrected formation energy: -23.336 kcal/mol of atoms
- Density of states at the Fermi level: 79.2 states/eV per cell

Cell lengths 13.0029, 13.0029, 13.0029 Å; angles 109.47, 109.47, 109.47 degrees
Closest atoms and distances in Å follow each position.
Fractional coordinates of all 80 atoms:
S 0.3858 0.9790 0.7973  2 Cr 2.21-2.42
S 0.4068 0.3858 0.5885  2 Cr 2.21-2.42
S 0.5932 0.6142 0.4115  2 Cr 2.21-2.42
S 0.9115 0.8183 0.7973  2 Cr 2.21-2.42
S 0.4115 0.2973 0.3183  2 Cr 2.21-2.42
S 0.7973 0.4790 0.3858  2 Cr 2.21-2.42
S 0.1142 0.7027 0.5210  2 Cr 2.21-2.42
S 0.2973 0.8858 0.9790  2 Cr 2.21-2.42
S 0.3183 0.7973 0.4115  2 Cr 2.21-2.42
S 0.0932 0.1817 0.4790  2 Cr 2.21-2.42
S 0.0210 0.6142 0.7027  2 Cr 2.21-2.42
S 0.5210 0.3183 0.9068  2 Cr 2.21-2.42
S 0.6142 0.5932 0.9115  2 Cr 2.21-2.42
S 0.4790 0.7973 0.8858  2 Cr 2.21-2.42
S 0.0885 0.1817 0.2027  2 Cr 2.21-2.42
S 0.5885 0.8858 0.4068  2 Cr 2.21-2.42
S 0.2973 0.4115 0.8183  2 Cr 2.21-2.42
S 0.9790 0.5932 0.1817  2 Cr 2.21-2.42
S 0.8183 0.9115 0.2973  2 Cr 2.21-2.42
S 0.8183 0.9068 0.0210  2 Cr 2.21-2.42
S 0.3183 0.5210 0.4068  2 Cr 2.21-2.42
S 0.4790 0.6817 0.0932  2 Cr 2.21-2.42
S 0.2027 0.6817 0.0885  2 Cr 2.21-2.42
S 0.2027 0.5210 0.6142  2 Cr 2.21-2.42
S 0.9115 0.0932 0.6142  2 Cr 2.21-2.42
S 0.8858 0.2973 0.4790  2 Cr 2.21-2.42
S 0.0932 0.9115 0.1142  2 Cr 2.21-2.42
S 0.3858 0.4068 0.0885  2 Cr 2.21-2.42
S 0.7027 0.5885 0.1817  2 Cr 2.21-2.42
S 0.5210 0.2027 0.1142  2 Cr 2.21-2.42
S 0.6817 0.2027 0.5885  2 Cr 2.21-2.42
S 0.9068 0.8183 0.5210  2 Cr 2.21-2.42
S 0.1817 0.0885 0.7027  2 Cr 2.21-2.42
S 0.1142 0.4115 0.0932  2 Cr 2.21-2.42
S 0.7973 0.3183 0.9115  2 Cr 2.21-2.42
S 0.1817 0.0932 0.9790  2 Cr 2.21-2.42
S 0.9068 0.0885 0.8858  2 Cr 2.21-2.42
S 0.6142 0.0210 0.2027  2 Cr 2.21-2.42
S 0.8858 0.5885 0.9068  2 Cr 2.21-2.42
S 0.4068 0.0210 0.3183  2 Cr 2.21-2.42
S 0.5885 0.7027 0.6817  2 Cr 2.21-2.42
S 0.5932 0.9790 0.6817  2 Cr 2.21-2.42
S 0.7027 0.1142 0.0210  2 Cr 2.21-2.42
S 0.0210 0.4068 0.8183  2 Cr 2.21-2.42
S 0.9790 0.3858 0.2973  2 Cr 2.21-2.42
S 0.6817 0.4790 0.5932  2 Cr 2.21-2.42
S 0.0885 0.9068 0.3858  2 Cr 2.21-2.42
S 0.4115 0.1142 0.5932  2 Cr 2.21-2.42
Eu 0.2500 0.1250 0.3750  8 S 2.95-3.00
Eu 0.7500 0.3750 0.1250  8 S 2.95-3.00
Eu 0.2500 0.6250 0.8750  8 S 2.95-3.00
Eu 0.8750 0.1250 0.2500  8 S 2.95-3.00
Eu 0.3750 0.7500 0.6250  8 S 2.95-3.00
Eu 0.1250 0.2500 0.8750  8 S 2.95-3.00
Eu 0.7500 0.8750 0.6250  8 S 2.95-3.00
Eu 0.3750 0.6250 0.2500  8 S 2.95-3.00
Eu 0.1250 0.8750 0.7500  8 S 2.95-3.00
Eu 0.6250 0.2500 0.3750  8 S 2.95-3.00
Eu 0.6250 0.3750 0.7500  8 S 2.95-3.00
Eu 0.8750 0.7500 0.1250  8 S 2.95-3.00
Cr 0.0000 0.5000 0.0000  6 S 2.42
Cr 0.6250 0.7500 0.8750  4 S 2.21
Cr 0.0000 0.0000 0.0000  6 S 2.42
Cr 0.7500 0.1250 0.8750  4 S 2.21
Cr 0.2500 0.8750 0.1250  4 S 2.21
Cr 0.1250 0.7500 0.3750  4 S 2.21
Cr 0.2500 0.3750 0.6250  4 S 2.21
Cr 0.5000 0.5000 0.0000  6 S 2.42
Cr 0.7500 0.6250 0.3750  4 S 2.21
Cr 0.0000 0.5000 0.5000  6 S 2.42
Cr 0.5000 0.5000 0.5000  6 S 2.42
Cr 0.3750 0.2500 0.1250  4 S 2.21
Cr 0.5000 0.0000 0.5000  6 S 2.42
Cr 0.5000 0.0000 0.0000  6 S 2.42
Cr 0.0000 0.0000 0.5000  6 S 2.42
Cr 0.3750 0.1250 0.7500  4 S 2.21
Cr 0.6250 0.8750 0.2500  4 S 2.21
Cr 0.1250 0.3750 0.2500  4 S 2.21
Cr 0.8750 0.6250 0.7500  4 S 2.21
Cr 0.8750 0.2500 0.6250  4 S 2.21

Record 5
A relaxed EuCrSb2 crystal. Source: the Alexandria database, functional PBE.

Calculated values
- Symmetry: R-3m
- Uncorrected formation energy: -8.698 kcal/mol of atoms
- Density of states at the Fermi level: 9.2 states/eV per cell

Cell lengths 4.3152, 4.3152, 7.0013 Å; angles 72.05, 72.05, 60.00 degrees
Closest atoms and distances in Å follow each position.
Fractional coordinates of all 4 atoms:
Eu 0.5000 0.5000 0.5000  6 Sb 3.22
Cr 0.0000 0.0000 0.0000  6 Sb 2.78
Sb 0.7294 0.7294 0.8117  3 Cr 2.78
Sb 0.2706 0.2706 0.1883  3 Cr 2.78

Record 6
A relaxed Eu3Cr5Se12 crystal. Source: the Alexandria database, functional PBE.

Calculated values
- Symmetry: Ia-3d
- Uncorrected formation energy: -19.440 kcal/mol of atoms
- Density of states at the Fermi level: 85.0 states/eV per cell

Cell lengths 13.7014, 13.7014, 13.7014 Å; angles 109.47, 109.47, 109.47 degrees
Closest atoms and distances in Å follow each position.
Fractional coordinates of all 80 atoms:
Cr 0.8750 0.6250 0.7500  4 Se 2.35
Cr 0.5000 0.0000 0.0000  6 Se 2.55
Cr 0.0000 0.5000 0.0000  6 Se 2.55
Cr 0.1250 0.3750 0.2500  4 Se 2.35
Cr 0.7500 0.6250 0.3750  4 Se 2.35
Cr 0.5000 0.5000 0.5000  6 Se 2.55
Cr 0.2500 0.3750 0.6250  4 Se 2.35
Cr 0.3750 0.2500 0.1250  4 Se 2.35
Cr 0.0000 0.5000 0.5000  6 Se 2.55
Cr 0.1250 0.7500 0.3750  4 Se 2.35
Cr 0.0000 0.0000 0.5000  6 Se 2.55
Cr 0.7500 0.1250 0.8750  4 Se 2.35
Cr 0.2500 0.8750 0.1250  4 Se 2.35
Cr 0.6250 0.8750 0.2500  4 Se 2.35
Cr 0.5000 0.5000 0.0000  6 Se 2.55
Cr 0.0000 0.0000 0.0000  6 Se 2.55
Cr 0.8750 0.2500 0.6250  4 Se 2.35
Cr 0.5000 0.0000 0.5000  6 Se 2.55
Cr 0.6250 0.7500 0.8750  4 Se 2.35
Cr 0.3750 0.1250 0.7500  4 Se 2.35
Se 0.8855 0.5896 0.9090  2 Cr 2.35-2.55
Se 0.9104 0.0910 0.6145  2 Cr 2.35-2.55
Se 0.6145 0.5910 0.9104  2 Cr 2.35-2.55
Se 0.7041 0.1145 0.0235  2 Cr 2.35-2.55
Se 0.6806 0.4765 0.5910  2 Cr 2.35-2.55
Se 0.0896 0.9090 0.3855  2 Cr 2.35-2.55
Se 0.4104 0.1145 0.5910  2 Cr 2.35-2.55
Se 0.9090 0.0896 0.8855  2 Cr 2.35-2.55
Se 0.2041 0.6806 0.0896  2 Cr 2.35-2.55
Se 0.6806 0.2041 0.5896  2 Cr 2.35-2.55
Se 0.1806 0.0910 0.9765  2 Cr 2.35-2.55
Se 0.9765 0.3855 0.2959  2 Cr 2.35-2.55
Se 0.4090 0.0235 0.3194  2 Cr 2.35-2.55
Se 0.4090 0.3855 0.5896  2 Cr 2.35-2.55
Se 0.7959 0.4765 0.3855  2 Cr 2.35-2.55
Se 0.1145 0.7041 0.5235  2 Cr 2.35-2.55
Se 0.4765 0.7959 0.8855  2 Cr 2.35-2.55
Se 0.2959 0.8855 0.9765  2 Cr 2.35-2.55
Se 0.3855 0.9765 0.7959  2 Cr 2.35-2.55
Se 0.3855 0.4090 0.0896  2 Cr 2.35-2.55
Se 0.8855 0.2959 0.4765  2 Cr 2.35-2.55
Se 0.9090 0.8194 0.5235  2 Cr 2.35-2.55
Se 0.0235 0.4090 0.8194  2 Cr 2.35-2.55
Se 0.5910 0.6145 0.4104  2 Cr 2.35-2.55
Se 0.5896 0.7041 0.6806  2 Cr 2.35-2.55
Se 0.9765 0.5910 0.1806  2 Cr 2.35-2.55
Se 0.9104 0.8194 0.7959  2 Cr 2.35-2.55
Se 0.4104 0.2959 0.3194  2 Cr 2.35-2.55
Se 0.5896 0.8855 0.4090  2 Cr 2.35-2.55
Se 0.5910 0.9765 0.6806  2 Cr 2.35-2.55
Se 0.7959 0.3194 0.9104  2 Cr 2.35-2.55
Se 0.0896 0.1806 0.2041  2 Cr 2.35-2.55
Se 0.5235 0.2041 0.1145  2 Cr 2.35-2.55
Se 0.3194 0.7959 0.4104  2 Cr 2.35-2.55
Se 0.8194 0.9104 0.2959  2 Cr 2.35-2.55
Se 0.0235 0.6145 0.7041  2 Cr 2.35-2.55
Se 0.0910 0.1806 0.4765  2 Cr 2.35-2.55
Se 0.4765 0.6806 0.0910  2 Cr 2.35-2.55
Se 0.1145 0.4104 0.0910  2 Cr 2.35-2.55
Se 0.5235 0.3194 0.9090  2 Cr 2.35-2.55
Se 0.1806 0.0896 0.7041  2 Cr 2.35-2.55
Se 0.8194 0.9090 0.0235  2 Cr 2.35-2.55
Se 0.2959 0.4104 0.8194  2 Cr 2.35-2.55
Se 0.6145 0.0235 0.2041  2 Cr 2.35-2.55
Se 0.0910 0.9104 0.1145  2 Cr 2.35-2.55
Se 0.3194 0.5235 0.4090  2 Cr 2.35-2.55
Se 0.2041 0.5235 0.6145  2 Cr 2.35-2.55
Se 0.7041 0.5896 0.1806  2 Cr 2.35-2.55
Eu 0.3750 0.7500 0.6250  8 Se 3.11-3.12
Eu 0.7500 0.8750 0.6250  8 Se 3.11-3.12
Eu 0.3750 0.6250 0.2500  8 Se 3.11-3.12
Eu 0.1250 0.8750 0.7500  8 Se 3.11-3.12
Eu 0.7500 0.3750 0.1250  8 Se 3.11-3.12
Eu 0.8750 0.7500 0.1250  8 Se 3.11-3.12
Eu 0.8750 0.1250 0.2500  8 Se 3.11-3.12
Eu 0.2500 0.6250 0.8750  8 Se 3.11-3.12
Eu 0.2500 0.1250 0.3750  8 Se 3.11-3.12
Eu 0.6250 0.2500 0.3750  8 Se 3.11-3.12
Eu 0.1250 0.2500 0.8750  8 Se 3.11-3.12
Eu 0.6250 0.3750 0.7500  8 Se 3.11-3.12

| no. | VASP energy (eV per formula unit) |
| --- | --- |
| 1 | -33.55 |
| 2 | -27.06 |
| 3 | -32.89 |
| 4 | -148.71 |
| 5 | -29.65 |
| 6 | -137.61 |